No. 1
First-principles (PBE) data for a geometry-optimized LaAl2Sb2 structure, as listed in Alexandria via LeMat-Bulk.

abc: 8.1472 8.1472 3.8774
angles: 90.00 90.00 90.00
Atoms (fractional coordinates):
La (0.0000, 0.0000, 0.0000)
Sb (0.1392, 0.3608, 0.0000)
Al (0.1480, 0.6480, 0.5000)
Al (0.8520, 0.3520, 0.5000)
Sb (0.3608, 0.8608, 0.0000)
Al (0.6480, 0.8520, 0.5000)
La (0.5000, 0.5000, 0.0000)
Sb (0.6392, 0.1392, 0.0000)
Sb (0.8608, 0.6392, 0.0000)
Al (0.3520, 0.1480, 0.5000)

total magnetization = 0.00 μB/cell
calculated total energy = -43.28 eV per cell
volume = 25.7 Å³/atom
uncorrected formation energy = -0.20 eV per atom

No. 2
First-principles (PBE) data for a geometry-optimized LaAl2Sb structure, as listed in Alexandria via LeMat-Bulk.

abc: 5.0337 3.3293 5.9071
angles: 90.00 90.00 90.00
Atoms (fractional coordinates):
Al (0.5000, 0.0002, 0.2380)
Al (0.0000, 0.9999, 0.0207)
Sb (0.5000, 0.9999, 0.7462)
La (0.0000, 0.5000, 0.4951)

total magnetization = 0.00 μB/cell
calculated total energy = -17.77 eV per cell
volume = 24.7 Å³/atom
uncorrected formation energy = -0.31 eV per atom

No. 3
First-principles (PBE) data for a geometry-optimized LaAl3Sb structure, as listed in Alexandria via LeMat-Bulk.

abc: 5.2730 5.2730 5.2730
angles: 90.00 90.00 90.00
Atoms (fractional coordinates):
Al (0.0000, 0.5000, 0.0000)
Al (0.0000, 0.0000, 0.5000)
Sb (0.0000, 0.0000, 0.0000)
La (0.5000, 0.5000, 0.5000)
Al (0.5000, 0.0000, 0.0000)

total magnetization = 0.00 μB/cell
calculated total energy = -17.97 eV per cell
volume = 29.3 Å³/atom
uncorrected formation energy = 0.46 eV per atom
offset from the most stable computed form = 0.0000 eV/atom

No. 4
First-principles (PBE) data for a geometry-optimized LaAl2Sb structure, as listed in Alexandria via LeMat-Bulk.

abc: 5.9116 5.9116 4.4535
angles: 67.88 67.88 44.06
Atoms (fractional coordinates):
La (0.4817, 0.4817, 0.5182)
Sb (0.2369, 0.2369, 0.2630)
Al (0.0440, 0.0440, 0.9558)
Al (0.7373, 0.7373, 0.7631)

total magnetization = 0.00 μB/cell
calculated total energy = -18.21 eV per cell
volume = 24.7 Å³/atom
uncorrected formation energy = -0.42 eV per atom

No. 5
First-principles (PBE) data for a geometry-optimized LaAl2Sb structure, as listed in Alexandria via LeMat-Bulk.

abc: 9.1398 9.1398 9.1398
angles: 23.69 23.69 23.69
Atoms (fractional coordinates):
Sb (0.7500, 0.7500, 0.7500)
Al (0.0129, 0.0129, 0.0129)
Al (0.4871, 0.4871, 0.4871)
La (0.2500, 0.2500, 0.2500)

total magnetization = 0.01 μB/cell
calculated total energy = -16.26 eV per cell
volume = 27.1 Å³/atom
uncorrected formation energy = 0.07 eV per atom

No. 6
First-principles (PBE) data for a geometry-optimized LaAl2Sb structure, as listed in Alexandria via LeMat-Bulk.

abc: 9.7849 9.7849 9.7849
angles: 20.39 20.39 20.39
Atoms (fractional coordinates):
La (0.5021, 0.5021, 0.5021)
Sb (0.7382, 0.7382, 0.7382)
Al (0.9974, 0.9974, 0.9974)
Al (0.2623, 0.2623, 0.2623)

total magnetization = 0.00 μB/cell
calculated total energy = -16.71 eV per cell
volume = 24.9 Å³/atom
uncorrected formation energy = -0.04 eV per atom